5
Lattice="5.768 0.000 0.000 0.000 5.768 0.000 0.000 0.000 4.578" Properties=species:S:1:pos:R:3 comment="Sr2CrBRh | Alexandria via LeMat-Bulk | PBE-GGA | relaxed" dft_energy_ev_per_atom=-4.4324 formation_enthalpy_0k_ev_per_atom=0.971 pbc="T T T"
Sr 0.000 2.884 0.000
Sr 2.884 0.000 0.000
Cr 0.000 0.000 2.289
B 2.884 2.884 2.289
Rh 0.000 0.000 0.000

***

5
Lattice="4.739 0.000 0.000 0.000 4.739 0.000 0.000 0.000 4.644" Properties=species:S:1:pos:R:3 comment="TaCr2BRh | Alexandria via LeMat-Bulk | PBE-GGA | relaxed" dft_energy_ev_per_atom=-6.7820 formation_enthalpy_0k_ev_per_atom=2.244 pbc="T T T"
Ta 0.000 0.000 0.000
Cr 0.000 2.369 0.000
Cr 2.369 0.000 0.000
B 2.369 2.369 2.322
Rh 0.000 0.000 2.322

***

5
Lattice="4.601 0.000 0.000 0.000 4.601 0.000 0.000 0.000 3.729" Properties=species:S:1:pos:R:3 comment="ZnCrBRh2 | Alexandria via LeMat-Bulk | PBE-GGA | relaxed" dft_energy_ev_per_atom=-5.2814 formation_enthalpy_0k_ev_per_atom=1.174 pbc="T T T"
Zn 0.000 0.000 0.000
Cr 2.300 2.300 1.865
B 0.000 0.000 1.865
Rh 0.000 2.300 0.000
Rh 2.300 0.000 0.000

***

5
Lattice="4.565 0.000 0.000 0.000 4.565 0.000 0.000 0.000 3.726" Properties=species:S:1:pos:R:3 comment="Zn2CrBRh | Alexandria via LeMat-Bulk | PBE-GGA | relaxed" dft_energy_ev_per_atom=-4.0772 formation_enthalpy_0k_ev_per_atom=1.163 pbc="T T T"
Zn 0.000 2.283 0.000
Zn 2.283 0.000 0.000
Cr 0.000 0.000 0.000
B 0.000 0.000 1.863
Rh 2.283 2.283 1.863

***

5
Lattice="3.965 0.000 0.000 0.000 3.965 0.000 0.000 0.000 4.603" Properties=species:S:1:pos:R:3 comment="ZrCrB2Rh | Alexandria via LeMat-Bulk | PBE-GGA | relaxed" dft_energy_ev_per_atom=-6.8577 formation_enthalpy_0k_ev_per_atom=0.918 pbc="T T T"
Zr 0.000 0.000 0.000
Cr 0.000 0.000 2.301
B 0.000 1.982 2.301
B 1.982 0.000 2.301
Rh 1.982 1.982 0.000

***

5
Lattice="3.872 0.000 0.000 0.000 3.872 0.000 0.000 0.000 3.872" Properties=species:S:1:pos:R:3 comment="Cr3BRu | Alexandria via LeMat-Bulk | PBE-GGA | relaxed" polymorph_energy_ev_per_atom=0.000 dft_energy_ev_per_atom=-8.7268 formation_enthalpy_0k_ev_per_atom=0.238 pbc="T T T"
Cr 0.000 0.000 1.936
Cr 0.000 1.936 0.000
Cr 1.936 0.000 0.000
B 0.000 0.000 0.000
Ru 1.936 1.936 1.936

***

16
Lattice="5.289 0.000 0.000 0.000 5.289 0.000 0.000 0.000 5.289" Properties=species:S:1:pos:R:3 comment="CrB2Ru | Alexandria via LeMat-Bulk | PBE-GGA | relaxed" polymorph_energy_ev_per_atom=0.449 dft_energy_ev_per_atom=-7.9198 formation_enthalpy_0k_ev_per_atom=0.144 pbc="T T T"
Cr 0.000 0.000 0.000
Cr 0.000 2.645 2.645
Cr 2.645 0.000 2.645
Cr 2.645 2.645 0.000
B 1.322 1.322 1.322
B 1.322 1.322 3.967
B 1.322 3.967 1.322
B 1.322 3.967 3.967
B 3.967 1.322 1.322
B 3.967 1.322 3.967
B 3.967 3.967 1.322
B 3.967 3.967 3.967
Ru 0.000 0.000 2.645
Ru 0.000 2.645 0.000
Ru 2.645 0.000 0.000
Ru 2.645 2.645 2.645

***

5
Lattice="4.586 0.000 0.000 0.000 4.586 0.000 0.000 0.000 4.586" Properties=species:S:1:pos:R:3 comment="Cr3BRu | Alexandria via LeMat-Bulk | PBE-GGA | relaxed" polymorph_energy_ev_per_atom=1.785 dft_energy_ev_per_atom=-6.9420 formation_enthalpy_0k_ev_per_atom=2.023 pbc="T T T"
Cr 0.000 0.000 2.293
Cr 0.000 2.293 0.000
Cr 2.293 0.000 0.000
B 2.293 2.293 2.293
Ru 0.000 0.000 0.000